Computed, not measured: a geometry-optimized La6Pd2PtCl3 structure at the PBE level of DFT.

extended XYZ file:
```
12
Lattice="-2.2845 -4.4643 5.4168 6.9783 -0.3455 -2.3820 0.4268 6.7480 4.0708" Properties=species:S:1:pos:R:3 pbc="T T T"
La 2.3917 0.9501 6.7989
La 3.5772 -2.1193 3.1296
La 2.7289 0.9881 0.3067
La 5.4444 2.3075 4.2287
La 1.5434 4.0575 3.9760
La -0.3237 -0.3693 2.8769
Pd 3.8889 -1.7192 0.2192
Pd 0.8050 -3.0905 2.8157
Pt 0.0000 0.0000 0.0000
Cl 5.6267 2.3326 0.9711
Cl -0.5061 -0.3944 6.1345
Cl 2.5603 0.9691 3.5528
```

## Properties
Its space group is C2/m.

=====

Computed, not measured: a geometry-optimized La3PdPtCl structure at the PBE level of DFT.

extended XYZ file:
```
12
Lattice="4.0346 0.0000 0.0000 0.0000 7.7902 0.2838 0.0000 -2.8219 10.7071" Properties=species:S:1:pos:R:3 pbc="T T T"
La 1.0086 4.0995 5.7021
La 3.0259 -0.0534 1.6485
La 3.0259 3.8369 1.9028
La 3.0259 0.8688 5.2888
La 1.0086 1.1314 9.0881
La 1.0086 5.0217 9.3424
Pd 3.0259 2.9985 7.5428
Pd 1.0086 1.9698 3.4481
Pt 1.0086 5.8117 0.7926
Pt 3.0259 -0.8435 10.1984
Cl 1.0086 -0.8853 6.6960
Cl 3.0259 5.8536 4.2949
```

## Properties
Its space group is P2_1/m.

=====

Computed, not measured: a geometry-optimized La4PdRhCl2 structure at the PBE level of DFT.

extended XYZ file:
```
8
Lattice="4.1990 0.0000 0.0000 0.0000 7.3057 0.1117 0.0000 -2.5722 7.5969" Properties=species:S:1:pos:R:3 pbc="T T T"
La 2.0995 1.1420 1.6018
La 2.0995 3.5915 6.1068
La 0.0000 -0.1709 6.0433
La 0.0000 4.9044 1.6653
Pd 2.0995 3.6528 0.0559
Rh 0.0000 0.0000 0.0000
Cl 2.0995 -1.2861 3.7984
Cl 0.0000 2.3668 3.8543
```

## Properties
Its space group is P2/m.

=====

Computed, not measured: a geometry-optimized La8PdRh3Cl4 structure at the PBE level of DFT.

extended XYZ file:
```
16
Lattice="-1.7733 8.1685 0.1806 -3.0005 -0.4628 -8.5313 -3.4636 -5.1543 5.5975" Properties=species:S:1:pos:R:3 pbc="T T T"
La -5.8969 -3.3595 -0.5695
La -4.2030 -0.8393 -3.3066
La -3.1780 -0.7011 0.5059
La -6.7639 0.6342 -0.4812
La -1.4735 1.9171 -2.2720
La -5.0594 3.2524 -3.2590
La -4.0343 3.3907 0.5534
La -2.3405 5.9109 -2.1837
Pd -1.5003 -0.2314 -4.2656
Rh -2.3869 3.8528 -4.1754
Rh -4.1187 1.2757 -1.3766
Rh -3.2320 -2.8086 -1.4669
Cl -0.8866 4.0842 0.0903
Cl -2.6184 1.5071 2.8891
Cl 0.0000 0.0000 0.0000
Cl -1.7318 -2.5772 2.7988
```

## Properties
Its space group is R-3m.

=====

Computed, not measured: a geometry-optimized La6Pd2RhCl3 structure at the PBE level of DFT.

extended XYZ file:
```
12
Lattice="4.2270 0.0000 0.0000 0.0000 9.0321 -0.0830 -2.1135 -3.0203 9.2493" Properties=species:S:1:pos:R:3 pbc="T T T"
La 0.0000 6.0316 6.3312
La 2.1135 4.0501 3.1673
La 2.1135 -0.0198 2.8351
La 0.0000 1.9626 0.1078
La 2.1135 4.0491 9.0584
La 0.0000 1.9617 5.9990
Pd 2.1135 3.9897 6.1028
Pd 0.0000 2.0221 3.0635
Rh 2.1135 0.0000 0.0000
Cl 2.1135 4.5160 -0.0415
Cl 2.1135 -0.4938 6.1420
Cl 0.0000 6.5056 3.0243
```

## Properties
Its space group is C2/m.

=====

Computed, not measured: a geometry-optimized La3PdRhCl structure at the PBE level of DFT.

extended XYZ file:
```
12
Lattice="-2.5419 2.7190 1.4164 -5.8291 -4.9235 -1.0093 3.2982 -2.2948 10.3245" Properties=species:S:1:pos:R:3 pbc="T T T"
La -3.0992 -4.0149 4.9451
La -1.6926 1.4678 2.5431
La -4.6279 -1.0587 2.1254
La -1.9735 -0.4843 5.7864
La -0.4448 -3.4405 8.6061
La -3.3802 -5.9670 8.1884
Pd -3.3372 -2.6704 7.5358
Pd -1.7355 -1.8288 3.1957
Rh -4.9370 -3.2163 0.1138
Rh -0.1358 -1.2830 10.6177
Cl 0.7787 -1.3024 6.6971
Cl -5.8514 -3.1969 4.0344
```

## Properties
Its space group is P2_1/m.

=====

Computed, not measured: a geometry-optimized La6PdRh2Cl3 structure at the PBE level of DFT.

extended XYZ file:
```
12
Lattice="-2.3307 -3.1027 1.5605 7.4935 -4.1578 2.9253 -2.1411 7.5427 6.1940" Properties=species:S:1:pos:R:3 pbc="T T T"
La 4.4057 0.3737 7.3234
La 1.8418 -1.7449 4.8868
La -1.3840 -0.0915 3.3563
La 1.6642 -0.8217 0.8518
La 1.3575 1.1039 9.8279
La 1.1799 2.0271 5.7929
Pd -1.1653 -1.5514 0.7802
Rh 1.6336 -0.3324 7.3845
Rh 1.3881 0.6146 3.2953
Cl 2.5814 -3.6302 2.2429
Cl -2.1308 1.7581 5.9185
Cl 5.1525 -1.4758 4.7612
```

## Properties
Its space group is C2/m.

=====

Computed, not measured: a geometry-optimized La4PdRuCl2 structure at the PBE level of DFT.

extended XYZ file:
```
8
Lattice="-1.0181 0.9759 3.9351 -6.5649 -2.8840 -0.9832 4.8027 -5.8640 2.6968" Properties=species:S:1:pos:R:3 pbc="T T T"
La -1.1568 -1.4365 2.2772
La -1.6235 -6.3356 3.3714
La 1.9943 -5.4337 1.8635
La -3.7565 -3.3143 -0.1499
Pd 0.0000 0.0000 0.0000
Ru -3.7915 -0.9541 1.4760
Cl 1.8923 -2.4441 3.3160
Cl -0.8811 -4.3740 0.8568
```

## Properties
Its space group is P2/m.

=====

Computed, not measured: a geometry-optimized La6Pd2RuCl3 structure at the PBE level of DFT.

extended XYZ file:
```
12
Lattice="4.2034 0.0000 0.0000 0.0000 9.0701 -0.1423 -2.1017 -3.0973 9.2722" Properties=species:S:1:pos:R:3 pbc="T T T"
La 0.0000 6.0163 6.3466
La 2.1017 4.0433 3.1192
La 2.1017 -0.0434 2.7833
La 0.0000 1.9317 0.0865
La 2.1017 4.0411 9.0434
La 0.0000 1.9295 6.0107
Pd 2.1017 3.9510 6.0489
Pd 0.0000 2.0219 3.0810
Ru 2.1017 0.0000 0.0000
Cl 2.1017 4.5351 -0.0711
Cl 2.1017 -0.5301 6.1939
Cl 0.0000 6.5030 2.9360
```

## Properties
Its space group is C2/m.

=====

Computed, not measured: a geometry-optimized La4PdSCl2 structure at the PBE level of DFT.

extended XYZ file:
```
8
Lattice="4.1928 0.0000 0.0000 0.0000 7.2781 -0.1182 0.0000 2.5898 6.9318" Properties=species:S:1:pos:R:3 pbc="T T T"
La 0.0001 7.3160 5.1273
La 4.1928 2.5518 1.6863
La 2.0965 6.0506 1.7434
La 2.0964 3.8172 5.0702
Pd 2.0964 3.6390 -0.0591
S 0.0000 4.9339 3.4068
Cl 0.0000 2.5898 6.9318
Cl 2.0964 1.2949 3.4659
```

## Properties
Its space group is P2/m.

=====

Computed, not measured: a geometry-optimized La4SiPdCl2 structure at the PBE level of DFT.

extended XYZ file:
```
8
Lattice="4.2751 0.0000 0.0000 0.0000 7.6546 0.2136 0.0000 -2.5789 6.7650" Properties=species:S:1:pos:R:3 pbc="T T T"
La 2.1376 1.2315 1.6824
La 2.1376 3.8443 5.2962
La 0.0000 -0.0330 5.2233
La 0.0000 5.1088 1.7553
Si 0.0000 0.0000 0.0000
Pd 2.1376 3.8273 0.1068
Cl 2.1376 -1.2894 3.3825
Cl 0.0000 2.5379 3.4893
```

## Properties
Its space group is P2/m.

=====

Computed, not measured: a geometry-optimized Sr2LaPdCl structure at the PBE level of DFT.

extended XYZ file:
```
5
Lattice="5.7806 0.0000 0.0000 0.0000 5.0093 0.0000 0.0000 0.0000 5.7806" Properties=species:S:1:pos:R:3 pbc="T T T"
Sr 0.0000 0.0000 2.8903
Sr 2.8903 0.0000 0.0000
Cl 0.0000 0.0000 0.0000
Pd 0.0000 2.5046 0.0000
La 2.8903 2.5046 2.8903
```

## Properties
Its space group is P4/mmm.

=====

no.,formation energy without anion corrections (eV/atom)
1,-1.2628
2,-1.1428
3,-1.2321
4,-1.2621
5,-1.2106
6,-0.9865
7,-1.2517
8,-1.1464
9,-1.1577
10,-1.5182
11,-1.1970
12,-0.2852